Record 1
## Ru3Pt (GGA-PBEsol)

Data for a relaxed Ru3Pt crystal.

Summary:
E_tot, eV per cell: -37.3
SG: Pmm2
Spin magnetization, μB/atom: 0.00

Lattice parameters (Å, degrees): 2.7119 4.2991 4.6886 90.00 90.00 90.00
Last column: nearest neighbours and their distance in Å.
Atoms (fractional coordinates):
Ru: 0.0000 0.0000 0.0000  8 Ru 2.64-2.71, 4 Pt 2.70-2.72
Ru: 0.0000 0.5000 0.3265  8 Ru 2.64-2.75, 4 Pt 2.67
Ru: 0.5000 0.5000 0.8360  10 Ru 2.66-2.75, 2 Pt 2.66
Pt: 0.5000 0.0000 0.5021  10 Ru 2.66-2.72, 2 Pt 2.71


Record 2
## Ru5Pt4 (GGA-PBEsol)

Data for a relaxed Ru5Pt4 crystal.

Summary:
E_tot, eV per cell: -78.9
SG: I4/mmm
Spin magnetization, μB/atom: 0.00

Lattice parameters (Å, degrees): 6.0586 6.0586 6.0586 95.67 95.67 143.35
Last column: nearest neighbours and their distance in Å.
Atoms (fractional coordinates):
Ru: 0.0000 0.0000 0.0000  4 Pt 2.64, 8 Ru 2.66
Ru: 0.3386 0.3386 0.6772  6 Ru 2.63-2.79, 6 Pt 2.67-2.76
Ru: 0.3386 0.6614 0.0000  6 Ru 2.63-2.79, 6 Pt 2.67-2.76
Ru: 0.6614 0.3386 0.0000  6 Ru 2.63-2.79, 6 Pt 2.67-2.76
Ru: 0.6614 0.6614 0.3228  6 Ru 2.63-2.79, 6 Pt 2.67-2.76
Pt: 0.0000 0.3250 0.3250  7 Ru 2.64-2.76, 5 Pt 2.77-2.85
Pt: 0.0000 0.6750 0.6750  7 Ru 2.64-2.76, 5 Pt 2.77-2.85
Pt: 0.3250 0.0000 0.3250  7 Ru 2.64-2.76, 5 Pt 2.77-2.85
Pt: 0.6750 0.0000 0.6750  7 Ru 2.64-2.76, 5 Pt 2.77-2.85


Record 3
## RuPt3 (GGA-PBEsol)

Data for a relaxed RuPt3 crystal.

Summary:
E_tot, eV per cell: -93.0
SG: R-3m
Spin magnetization, μB/atom: 0.00

Lattice parameters (Å, degrees): 2.7387 2.7387 26.8868 90.00 90.00 120.00
Last column: nearest neighbours and their distance in Å.
Atoms (fractional coordinates):
Ru: 0.0000 0.0000 0.0000  6 Pt 2.68, 6 Ru 2.74
Ru: 0.3333 0.6667 0.6667  6 Pt 2.68, 6 Ru 2.74
Ru: 0.6667 0.3333 0.3333  6 Pt 2.68, 6 Ru 2.74
Pt: 0.0000 0.0000 0.2530  3 Ru 2.68, 9 Pt 2.74-2.81
Pt: 0.0000 0.0000 0.5000  12 Pt 2.74-2.81
Pt: 0.0000 0.0000 0.7470  3 Ru 2.68, 9 Pt 2.74-2.81
Pt: 0.3333 0.6667 0.1667  12 Pt 2.74-2.81
Pt: 0.3333 0.6667 0.4136  3 Ru 2.68, 9 Pt 2.74-2.81
Pt: 0.3333 0.6667 0.9197  3 Ru 2.68, 9 Pt 2.74-2.81
Pt: 0.6667 0.3333 0.0803  3 Ru 2.68, 9 Pt 2.74-2.81
Pt: 0.6667 0.3333 0.5864  3 Ru 2.68, 9 Pt 2.74-2.81
Pt: 0.6667 0.3333 0.8333  12 Pt 2.74-2.81


Record 4
## Ru2Pt (GGA-PBEsol)

Data for a relaxed Ru2Pt crystal.

Summary:
E_tot, eV per cell: -54.7
SG: I4/mmm
Spin magnetization, μB/atom: 0.00

Lattice parameters (Å, degrees): 2.6899 2.6899 11.4911 90.00 90.00 90.00
Last column: nearest neighbours and their distance in Å.
Atoms (fractional coordinates):
Ru: 0.0000 0.0000 0.1746  8 Ru 2.57-2.69, 4 Pt 2.76
Ru: 0.0000 0.0000 0.8254  8 Ru 2.57-2.69, 4 Pt 2.76
Ru: 0.5000 0.5000 0.3254  8 Ru 2.57-2.69, 4 Pt 2.76
Ru: 0.5000 0.5000 0.6746  8 Ru 2.57-2.69, 4 Pt 2.76
Pt: 0.0000 0.0000 0.5000  4 Pt 2.69, 8 Ru 2.76
Pt: 0.5000 0.5000 0.0000  4 Pt 2.69, 8 Ru 2.76


Record 5
## Ru3Pt (GGA-PBEsol)

Data for a relaxed Ru3Pt crystal.

Summary:
E_tot, eV per cell: -37.3
SG: P4/mmm
Spin magnetization, μB/atom: 0.00

Lattice parameters (Å, degrees): 2.6762 2.6762 7.6539 90.00 90.00 90.00
Last column: nearest neighbours and their distance in Å.
Atoms (fractional coordinates):
Ru: 0.0000 0.0000 0.0000  12 Ru 2.64-2.68
Ru: 0.5000 0.5000 0.2411  8 Ru 2.64-2.68, 4 Pt 2.74
Ru: 0.5000 0.5000 0.7589  8 Ru 2.64-2.68, 4 Pt 2.74
Pt: 0.0000 0.0000 0.5000  4 Pt 2.68, 8 Ru 2.74


Record 6
## Ru2Pt (GGA-PBEsol)

Data for a relaxed Ru2Pt crystal.

Summary:
E_tot, eV per cell: -27.2
SG: P-3m1
Spin magnetization, μB/atom: 0.00

Lattice parameters (Å, degrees): 2.6944 2.6944 6.6297 90.00 90.00 120.00
Last column: nearest neighbours and their distance in Å.
Atoms (fractional coordinates):
Ru: 0.3333 0.6667 0.1540  9 Ru 2.57-2.69, 3 Pt 2.77
Ru: 0.6667 0.3333 0.8460  9 Ru 2.57-2.69, 3 Pt 2.77
Pt: 0.0000 0.0000 0.5000  6 Pt 2.69, 6 Ru 2.77


Record 7
## Ru3Pt (GGA-PBEsol)

Data for a relaxed Ru3Pt crystal.

Summary:
E_tot, eV per cell: -111.6
SG: R-3m
Spin magnetization, μB/atom: 0.00

Lattice parameters (Å, degrees): 2.6815 2.6815 26.4603 90.00 90.00 120.00
Last column: nearest neighbours and their distance in Å.
Atoms (fractional coordinates):
Ru: 0.0000 0.0000 0.0000  12 Ru 2.63-2.68
Ru: 0.0000 0.0000 0.2530  9 Ru 2.63-2.68, 3 Pt 2.76
Ru: 0.0000 0.0000 0.7470  9 Ru 2.63-2.68, 3 Pt 2.76
Ru: 0.3333 0.6667 0.4136  9 Ru 2.63-2.68, 3 Pt 2.76
Ru: 0.3333 0.6667 0.6667  12 Ru 2.63-2.68
Ru: 0.3333 0.6667 0.9197  9 Ru 2.63-2.68, 3 Pt 2.76
Ru: 0.6667 0.3333 0.0803  9 Ru 2.63-2.68, 3 Pt 2.76
Ru: 0.6667 0.3333 0.3333  12 Ru 2.63-2.68
Ru: 0.6667 0.3333 0.5864  9 Ru 2.63-2.68, 3 Pt 2.76
Pt: 0.0000 0.0000 0.5000  6 Pt 2.68, 6 Ru 2.76
Pt: 0.3333 0.6667 0.1667  6 Pt 2.68, 6 Ru 2.76
Pt: 0.6667 0.3333 0.8333  6 Pt 2.68, 6 Ru 2.76


Record 8
## Ru2Pt (GGA-PBEsol)

Data for a relaxed Ru2Pt crystal.

Summary:
E_tot, eV per cell: -109.0
SG: Pnma
Spin magnetization, μB/atom: 0.00

Lattice parameters (Å, degrees): 5.3866 3.7941 8.1218 90.00 90.00 90.00
Last column: nearest neighbours and their distance in Å.
Atoms (fractional coordinates):
Ru: 0.1175 0.2500 0.0808  7 Ru 2.62-2.76, 5 Pt 2.65-2.73
Ru: 0.1236 0.2500 0.7587  7 Ru 2.62-2.76, 5 Pt 2.64-2.82
Ru: 0.3764 0.7500 0.2587  7 Ru 2.62-2.76, 5 Pt 2.64-2.82
Ru: 0.3825 0.7500 0.5808  7 Ru 2.62-2.76, 5 Pt 2.65-2.73
Ru: 0.6175 0.2500 0.4192  7 Ru 2.62-2.76, 5 Pt 2.65-2.73
Ru: 0.6236 0.2500 0.7413  7 Ru 2.62-2.76, 5 Pt 2.64-2.82
Ru: 0.8764 0.7500 0.2413  7 Ru 2.62-2.76, 5 Pt 2.64-2.82
Ru: 0.8825 0.7500 0.9192  7 Ru 2.62-2.76, 5 Pt 2.65-2.73
Pt: 0.1248 0.2500 0.4117  10 Ru 2.64-2.82, 2 Pt 2.73
Pt: 0.3752 0.7500 0.9117  10 Ru 2.64-2.82, 2 Pt 2.73
Pt: 0.6248 0.2500 0.0883  10 Ru 2.64-2.82, 2 Pt 2.73
Pt: 0.8752 0.7500 0.5883  10 Ru 2.64-2.82, 2 Pt 2.73


Record 9
## Ru2Pt (GGA-PBEsol)

Data for a relaxed Ru2Pt crystal.

Summary:
E_tot, eV per cell: -108.8
SG: I4_1/amd
Spin magnetization, μB/atom: 0.00

Lattice parameters (Å, degrees): 11.7366 11.7366 11.7366 161.32 161.32 26.53
Last column: nearest neighbours and their distance in Å.
Atoms (fractional coordinates):
Ru: 0.1239 0.3739 0.7500  4 Pt 2.64-2.67, 8 Ru 2.66-2.69
Ru: 0.2927 0.5427 0.7500  6 Ru 2.66-2.73, 6 Pt 2.69-2.75
Ru: 0.3739 0.1239 0.2500  4 Pt 2.64-2.67, 8 Ru 2.66-2.69
Ru: 0.4573 0.7073 0.7500  6 Ru 2.66-2.73, 6 Pt 2.69-2.75
Ru: 0.5427 0.2927 0.2500  6 Ru 2.66-2.73, 6 Pt 2.69-2.75
Ru: 0.6261 0.8761 0.7500  4 Pt 2.64-2.67, 8 Ru 2.66-2.69
Ru: 0.7073 0.4573 0.2500  6 Ru 2.66-2.73, 6 Pt 2.69-2.75
Ru: 0.8761 0.6261 0.2500  4 Pt 2.64-2.67, 8 Ru 2.66-2.69
Pt: 0.0440 0.7940 0.2500  10 Ru 2.64-2.75, 2 Pt 2.77
Pt: 0.2060 0.9560 0.2500  10 Ru 2.64-2.75, 2 Pt 2.77
Pt: 0.7940 0.0440 0.7500  10 Ru 2.64-2.75, 2 Pt 2.77
Pt: 0.9560 0.2060 0.7500  10 Ru 2.64-2.75, 2 Pt 2.77


Record 10
## RuPt5 (GGA-PBEsol)

Data for a relaxed RuPt5 crystal.

Summary:
E_tot, eV per cell: -44.5
SG: P-62m
Spin magnetization, μB/atom: 0.00

Lattice parameters (Å, degrees): 4.7196 4.7196 4.5904 90.00 90.00 120.00
Last column: nearest neighbours and their distance in Å.
Atoms (fractional coordinates):
Ru: 0.0000 0.0000 0.0000  12 Pt 2.72-2.77
Pt: 0.0000 0.6724 0.5000  10 Pt 2.68-2.79, 2 Ru 2.77
Pt: 0.3276 0.3276 0.5000  10 Pt 2.68-2.79, 2 Ru 2.77
Pt: 0.3333 0.6667 0.0000  3 Ru 2.72, 9 Pt 2.72-2.79
Pt: 0.6667 0.3333 0.0000  3 Ru 2.72, 9 Pt 2.72-2.79
Pt: 0.6724 0.0000 0.5000  10 Pt 2.68-2.79, 2 Ru 2.77


Record 11
## Ru3Pt (GGA-PBEsol)

Data for a relaxed Ru3Pt crystal.

Summary:
E_tot, eV per cell: -37.5
SG: P-6m2
Spin magnetization, μB/atom: 0.00

Lattice parameters (Å, degrees): 2.7048 2.7048 8.6705 90.00 90.00 120.00
Last column: nearest neighbours and their distance in Å.
Atoms (fractional coordinates):
Ru: 0.0000 0.0000 0.0000  12 Ru 2.59-2.70
Ru: 0.6667 0.3333 0.2381  9 Ru 2.59-2.70, 3 Pt 2.76
Ru: 0.6667 0.3333 0.7619  9 Ru 2.59-2.70, 3 Pt 2.76
Pt: 0.0000 0.0000 0.5000  6 Pt 2.70, 6 Ru 2.76


Record 12
## Ru3Pt (GGA-PBEsol)

Data for a relaxed Ru3Pt crystal.

Summary:
E_tot, eV per cell: -37.3
SG: Pmmm
Spin magnetization, μB/atom: 0.00

Lattice parameters (Å, degrees): 2.6771 3.8034 5.3833 90.00 90.00 90.00
Last column: nearest neighbours and their distance in Å.
Atoms (fractional coordinates):
Ru: 0.0000 0.0000 0.0000  10 Ru 2.66-2.68, 2 Pt 2.69
Ru: 0.5000 0.5000 0.2389  8 Ru 2.57-2.81, 4 Pt 2.72
Ru: 0.5000 0.5000 0.7611  8 Ru 2.57-2.81, 4 Pt 2.72
Pt: 0.0000 0.0000 0.5000  2 Pt 2.68, 10 Ru 2.69-2.72


Record 13
## Ru3Pt (GGA-PBEsol)

Data for a relaxed Ru3Pt crystal.

Summary:
E_tot, eV per cell: -74.8
SG: Pmmn
Spin magnetization, μB/atom: 0.00

Lattice parameters (Å, degrees): 4.2963 5.4132 4.7037 90.00 90.00 90.00
Last column: nearest neighbours and their distance in Å.
Atoms (fractional coordinates):
Ru: 0.2500 0.0024 0.1639  8 Ru 2.64-2.73, 4 Pt 2.66-2.73
Ru: 0.2500 0.2500 0.6702  4 Pt 2.66-2.71, 8 Ru 2.66-2.73
Ru: 0.2500 0.4976 0.1639  8 Ru 2.64-2.73, 4 Pt 2.66-2.73
Ru: 0.7500 0.5024 0.8361  8 Ru 2.64-2.73, 4 Pt 2.66-2.73
Ru: 0.7500 0.7500 0.3298  4 Pt 2.66-2.71, 8 Ru 2.66-2.73
Ru: 0.7500 0.9976 0.8361  8 Ru 2.64-2.73, 4 Pt 2.66-2.73
Pt: 0.2500 0.7500 0.6618  12 Ru 2.66-2.73
Pt: 0.7500 0.2500 0.3382  12 Ru 2.66-2.73


Record 14
## Ru2Pt (GGA-PBEsol)

Data for a relaxed Ru2Pt crystal.

Summary:
E_tot, eV per cell: -109.0
SG: C2/m
Spin magnetization, μB/atom: 0.00

Lattice parameters (Å, degrees): 9.9105 2.7076 6.3915 90.00 104.29 90.00
Last column: nearest neighbours and their distance in Å.
Atoms (fractional coordinates):
Ru: 0.1465 0.0000 0.0320  8 Ru 2.57-2.83, 4 Pt 2.69-2.73
Ru: 0.2014 0.0000 0.6432  7 Ru 2.62-2.71, 5 Pt 2.64-2.79
Ru: 0.2986 0.5000 0.3568  7 Ru 2.62-2.71, 5 Pt 2.64-2.79
Ru: 0.3535 0.5000 0.9680  8 Ru 2.57-2.83, 4 Pt 2.69-2.73
Ru: 0.6465 0.5000 0.0320  8 Ru 2.57-2.83, 4 Pt 2.69-2.73
Ru: 0.7014 0.5000 0.6432  7 Ru 2.62-2.71, 5 Pt 2.64-2.79
Ru: 0.7986 0.0000 0.3568  7 Ru 2.62-2.71, 5 Pt 2.64-2.79
Ru: 0.8535 0.0000 0.9680  8 Ru 2.57-2.83, 4 Pt 2.69-2.73
Pt: 0.0253 0.5000 0.3013  9 Ru 2.64-2.79, 3 Pt 2.71
Pt: 0.4747 0.0000 0.6987  9 Ru 2.64-2.79, 3 Pt 2.71
Pt: 0.5253 0.0000 0.3013  9 Ru 2.64-2.79, 3 Pt 2.71
Pt: 0.9747 0.5000 0.6987  9 Ru 2.64-2.79, 3 Pt 2.71


Record 15
## RuPt3 (GGA-PBEsol)

Data for a relaxed RuPt3 crystal.

Summary:
E_tot, eV per cell: -123.3
SG: Pnma
Spin magnetization, μB/atom: 0.00

Lattice parameters (Å, degrees): 4.7492 8.9314 5.4970 90.00 90.00 90.00
Last column: nearest neighbours and their distance in Å.
Atoms (fractional coordinates):
Ru: 0.0778 0.2500 0.1333  10 Pt 2.69-2.81, 2 Ru 2.70
Ru: 0.4222 0.7500 0.6333  10 Pt 2.69-2.81, 2 Ru 2.70
Ru: 0.5778 0.2500 0.3667  10 Pt 2.69-2.81, 2 Ru 2.70
Ru: 0.9222 0.7500 0.8667  10 Pt 2.69-2.81, 2 Ru 2.70
Pt: 0.0825 0.2500 0.6227  4 Ru 2.69-2.81, 8 Pt 2.72-2.76
Pt: 0.2448 0.5019 0.8758  3 Ru 2.69-2.77, 9 Pt 2.70-2.78
Pt: 0.2448 0.9981 0.8758  3 Ru 2.69-2.77, 9 Pt 2.70-2.78
Pt: 0.2552 0.0019 0.3758  3 Ru 2.69-2.77, 9 Pt 2.70-2.78
Pt: 0.2552 0.4981 0.3758  3 Ru 2.69-2.77, 9 Pt 2.70-2.78
Pt: 0.4175 0.7500 0.1227  4 Ru 2.69-2.81, 8 Pt 2.72-2.76
Pt: 0.5825 0.2500 0.8773  4 Ru 2.69-2.81, 8 Pt 2.72-2.76
Pt: 0.7448 0.5019 0.6242  3 Ru 2.69-2.77, 9 Pt 2.70-2.78
Pt: 0.7448 0.9981 0.6242  3 Ru 2.69-2.77, 9 Pt 2.70-2.78
Pt: 0.7552 0.0019 0.1242  3 Ru 2.69-2.77, 9 Pt 2.70-2.78
Pt: 0.7552 0.4981 0.1242  3 Ru 2.69-2.77, 9 Pt 2.70-2.78
Pt: 0.9175 0.7500 0.3773  4 Ru 2.69-2.81, 8 Pt 2.72-2.76


Record 16
## Ru3PtS (GGA-PBEsol)

Data for a relaxed Ru3PtS crystal.

Summary:
E_tot, eV per cell: -30.5
Raw formation energy, eV/atom: 2.277
SG: Pm-3m
Spin magnetization, μB/atom: 1.23

Lattice parameters (Å, degrees): 4.7198 4.7198 4.7198 90.00 90.00 90.00
Last column: nearest neighbours and their distance in Å.
Atoms (fractional coordinates):
Ru: 0.0000 0.0000 0.5000  2 Pt 2.36
Ru: 0.0000 0.5000 0.0000  2 Pt 2.36
Ru: 0.5000 0.0000 0.0000  2 Pt 2.36
Pt: 0.0000 0.0000 0.0000  6 Ru 2.36
S: 0.5000 0.5000 0.5000  12 Ru 3.34


Record 17
## TeRu2PtS (GGA-PBEsol)

Data for a relaxed TeRu2PtS crystal.

Summary:
E_tot, eV per cell: -28.4
Raw formation energy, eV/atom: 1.361
SG: P4/mmm
Spin magnetization, μB/atom: 0.74

Lattice parameters (Å, degrees): 4.9359 4.9359 4.2527 90.00 90.00 90.00
Last column: nearest neighbours and their distance in Å.
Atoms (fractional coordinates):
Te: 0.0000 0.0000 0.0000  8 Ru 3.26, 4 S 3.49
Ru: 0.0000 0.5000 0.5000  2 Pt 2.47
Ru: 0.5000 0.0000 0.5000  2 Pt 2.47
Pt: 0.5000 0.5000 0.5000  2 S 2.13
S: 0.5000 0.5000 0.0000  2 Pt 2.13


Record 18
## SbRu2Pt (GGA-PBEsol)

Data for a relaxed SbRu2Pt crystal.

Summary:
E_tot, eV per cell: -31.2
Raw formation energy, eV/atom: 0.170
SG: Pmm2
Spin magnetization, μB/atom: 0.00

Lattice parameters (Å, degrees): 2.8940 3.8035 5.6645 90.00 90.00 90.00
Last column: nearest neighbours and their distance in Å.
Atoms (fractional coordinates):
Sb: 0.0000 0.0000 0.0000  6 Ru 2.70-2.96, 4 Pt 2.85, 2 Sb 2.89
Ru: 0.0000 0.0000 0.5232  6 Ru 2.67-2.89, 2 Sb 2.70-2.96, 4 Pt 2.78
Ru: 0.5000 0.5000 0.7335  1 Pt 2.60, 6 Ru 2.67-2.89, 4 Sb 2.83
Pt: 0.5000 0.5000 0.2738  5 Ru 2.60-2.78, 4 Sb 2.85, 2 Pt 2.89


Record 19
## SbRu2Pt (GGA-PBEsol)

Data for a relaxed SbRu2Pt crystal.

Summary:
E_tot, eV per cell: -30.6
Raw formation energy, eV/atom: 0.327
SG: Pmmm
Spin magnetization, μB/atom: 0.00

Lattice parameters (Å, degrees): 2.8579 4.6096 4.7425 90.00 90.00 90.00
Last column: nearest neighbours and their distance in Å.
Atoms (fractional coordinates):
Sb: 0.0000 0.0000 0.0000  4 Ru 2.71, 4 Pt 2.77, 2 Sb 2.86
Ru: 0.0000 0.5000 0.5000  4 Pt 2.71, 6 Ru 2.77-2.86
Ru: 0.5000 0.5000 0.0000  4 Sb 2.71, 6 Ru 2.77-2.86
Pt: 0.5000 0.0000 0.5000  4 Ru 2.71, 4 Sb 2.77, 2 Pt 2.86


Record 20
## SbRu2Pt (GGA-PBEsol)

Data for a relaxed SbRu2Pt crystal.

Summary:
E_tot, eV per cell: -62.7
Raw formation energy, eV/atom: 0.123
SG: Cm
Spin magnetization, μB/atom: 0.00

Lattice parameters (Å, degrees): 9.0172 2.9428 4.7165 90.00 100.25 90.00
Last column: nearest neighbours and their distance in Å.
Atoms (fractional coordinates):
Sb: 0.0000 0.0000 0.0000  3 Pt 2.71-2.84, 7 Ru 2.73-2.83, 2 Sb 2.94
Sb: 0.5000 0.5000 0.0000  3 Pt 2.71-2.84, 7 Ru 2.73-2.83, 2 Sb 2.94
Ru: 0.2514 0.5000 0.2671  4 Pt 2.66-2.90, 5 Ru 2.68-2.94, 3 Sb 2.76-2.81
Ru: 0.4934 0.0000 0.4859  5 Ru 2.68-2.94, 3 Pt 2.72-2.77, 4 Sb 2.73-2.83
Ru: 0.7514 0.0000 0.2671  4 Pt 2.66-2.90, 5 Ru 2.68-2.94, 3 Sb 2.76-2.81
Ru: 0.9934 0.5000 0.4859  5 Ru 2.68-2.94, 3 Pt 2.72-2.77, 4 Sb 2.73-2.83
Pt: 0.2435 0.0000 0.7343  7 Ru 2.66-2.90, 3 Sb 2.71-2.84, 2 Pt 2.94
Pt: 0.7435 0.5000 0.7343  7 Ru 2.66-2.90, 3 Sb 2.71-2.84, 2 Pt 2.94